# 1
VASP calculation (GGA-PBE) on a geometry-optimized TaGaHRu2 structure.

The calculation puts the relative energy among the computed polymorphs at 0.0 kJ per mole of atoms. As for the space group: P4/mmm (123).

Unit cell a=4.0707 b=4.0707 c=3.7936 alpha=90.00 beta=90.00 gamma=90.00
Last column: nearest neighbours and their distance in Å.
Sites, in units of the cell vectors:
Ru1 0.0000 0.5000 0.0000  2 H 2.04
Ru2 0.5000 0.0000 0.0000  2 H 2.04
Ga1 0.5000 0.5000 0.5000  8 Ru 2.78, 4 Ta 2.88
H1 0.0000 0.0000 0.0000  2 Ta 1.90, 4 Ru 2.04
Ta1 0.0000 0.0000 0.5000  2 H 1.90


# 2
VASP calculation (GGA-PBE) on a geometry-optimized Ta2GaHRu structure.

As for the space group: P4/mmm (123). The value obtained for the uncorrected energy is -40.151 eV/cell.

Unit cell a=4.1194 b=4.1194 c=3.9483 alpha=90.00 beta=90.00 gamma=90.00
Last column: nearest neighbours and their distance in Å.
Sites, in units of the cell vectors:
Ta1 0.5000 0.0000 0.0000  2 H 2.06
Ta2 0.0000 0.5000 0.0000  2 H 2.06
Ga1 0.5000 0.5000 0.5000  8 Ta 2.85, 4 Ru 2.91
H1 0.0000 0.0000 0.0000  2 Ru 1.97, 4 Ta 2.06
Ru1 0.0000 0.0000 0.5000  2 H 1.97


# 3
VASP calculation (GGA-PBE) on a geometry-optimized TaGaHRu2 structure.

The calculation puts the relative energy among the computed polymorphs at 10.0 kJ per mole of atoms. As for the space group: P4/mmm (123).

Unit cell a=4.1724 b=3.6765 c=4.1724 alpha=90.00 beta=90.00 gamma=90.00
Last column: nearest neighbours and their distance in Å.
Sites, in units of the cell vectors:
Ru1 0.0000 0.0000 0.5000  2 H 2.09
Ru2 0.5000 0.0000 0.0000  2 H 2.09
Ga1 0.0000 0.5000 0.0000  2 H 1.84
H1 0.0000 0.0000 0.0000  2 Ga 1.84
Ta1 0.5000 0.5000 0.5000  8 Ru 2.78, 4 Ga 2.95


# 4
VASP calculation (GGA-PBE) on a geometry-optimized TbGa2HRu2 structure.

As for the space group: P4/mmm (123). The value obtained for the uncorrected energy is -35.137 eV/cell.

Unit cell a=4.1329 b=4.1329 c=5.2923 alpha=90.00 beta=90.00 gamma=90.00
Last column: nearest neighbours and their distance in Å.
Sites, in units of the cell vectors:
Ga1 0.5000 0.5000 0.7308  1 Ga 2.44, 4 Ru 2.51
Ga2 0.5000 0.5000 0.2692  1 Ga 2.44, 4 Ru 2.51
Ru1 0.5000 0.0000 0.0000  2 H 2.07
Ru2 0.0000 0.5000 0.0000  2 H 2.07
Tb1 0.0000 0.0000 0.5000  2 H 2.65
H1 0.0000 0.0000 0.0000  4 Ru 2.07


# 5
VASP calculation (GGA-PBE) on a geometry-optimized GaTc2HRu structure.

As for the space group: P4/mmm (123). The value obtained for the uncorrected energy is -35.783 eV/cell.

Unit cell a=3.8693 b=3.8693 c=4.0335 alpha=90.00 beta=90.00 gamma=90.00
Last column: nearest neighbours and their distance in Å.
Sites, in units of the cell vectors:
Tc1 0.0000 0.5000 0.0000  2 H 1.93
Tc2 0.5000 0.0000 0.0000  2 H 1.93
Ru1 0.0000 0.0000 0.5000  2 H 2.02
H1 0.0000 0.0000 0.0000  4 Tc 1.93, 2 Ru 2.02
Ga1 0.5000 0.5000 0.5000  4 Ru 2.74, 8 Tc 2.79


# 6
VASP calculation (GGA-PBE) on a geometry-optimized GaTcHRu2 structure.

As for the space group: P4/mmm (123). The value obtained for the uncorrected energy is -34.703 eV/cell.

Unit cell a=3.9476 b=3.9476 c=3.8435 alpha=90.00 beta=90.00 gamma=90.00
Last column: nearest neighbours and their distance in Å.
Sites, in units of the cell vectors:
Tc1 0.0000 0.0000 0.5000  2 H 1.92
Ga1 0.5000 0.5000 0.5000  8 Ru 2.75, 4 Tc 2.79
Ru1 0.5000 0.0000 0.0000  2 H 1.97
Ru2 0.0000 0.5000 0.0000  2 H 1.97
H1 0.0000 0.0000 0.0000  2 Tc 1.92, 4 Ru 1.97


# 7
VASP calculation (GGA-PBE) on a geometry-optimized Ga2TcHRu structure.

As for the space group: P4/mmm (123). The value obtained for the uncorrected energy is -23.553 eV/cell.

Unit cell a=4.8983 b=4.8267 c=4.8983 alpha=90.00 beta=90.00 gamma=90.00
Last column: nearest neighbours and their distance in Å.
Sites, in units of the cell vectors:
Ga1 0.5000 0.0000 0.0000  2 Ru 2.45
Ga2 0.0000 0.0000 0.5000  2 Ru 2.45
Ru1 0.0000 0.0000 0.0000  2 Tc 2.41, 4 Ga 2.45
Tc1 0.0000 0.5000 0.0000  2 Ru 2.41
H1 0.5000 0.5000 0.5000  8 Ga 3.44, 4 Tc 3.46


# 8
VASP calculation (GGA-PBE) on a geometry-optimized TiGaHRu2 structure.

The calculation puts the relative energy among the computed polymorphs at 194.9 kJ per mole of atoms. As for the space group: P4/mmm (123).

Unit cell a=4.5771 b=4.8339 c=4.5771 alpha=90.00 beta=90.00 gamma=90.00
Last column: nearest neighbours and their distance in Å.
Sites, in units of the cell vectors:
H1 0.5000 0.5000 0.5000  4 Ti 3.24, 8 Ru 3.33
Ru1 0.5000 0.0000 0.0000  2 Ga 2.29
Ru2 0.0000 0.0000 0.5000  2 Ga 2.29
Ga1 0.0000 0.0000 0.0000  4 Ru 2.29, 2 Ti 2.42
Ti1 0.0000 0.5000 0.0000  2 Ga 2.42


Short version: M_tot = 0.00, 0.00, 0.00, 0.00, 0.00, 0.44, 2.70, 1.05 μB per cell, in the order given.